A plane-wave DFT calculation with GGA-PBE was carried out for a relaxed GaNi6B crystal.

DOS at the Fermi energy   1.16 states/eV per atom
Energy relative to the elements   -22 kJ/mol of formula units
Crystal system   trigonal
Magnetic moment   0.00 μB per atom
Volume   11.4 Å³ per atom

```
GaNi6B
1.0
4.559 -0.594 -0.120
-0.250 4.590 -0.120
1.092 1.013 4.346
Ni Ga B
6 1 1
Direct
0.291 0.291 0.102
0.898 0.291 0.709
0.709 0.709 0.898
0.709 0.102 0.291
0.102 0.709 0.291
0.291 0.898 0.709
0.500 0.500 0.500
0.000 0.000 0.000
```

=====

A plane-wave DFT calculation with GGA-PBE was carried out for a relaxed Ce2In5Pd3 crystal.

DOS at the Fermi energy   1.34 states/eV per atom
Energy relative to the elements   -569 kJ/mol of formula units
Crystal system   orthorhombic
Magnetic moment   0.13 μB per atom
Volume   22.6 Å³ per atom

```
Ce2In5Pd3
1.0
12.063 5.051 -3.283
-13.343 -0.894 1.721
0.689 2.759 6.777
In Pd Ce
10 6 4
Direct
0.948 0.052 0.112
0.124 0.876 0.257
0.294 0.706 0.900
0.876 0.124 0.757
0.401 0.599 0.406
0.706 0.294 0.400
0.291 0.709 0.495
0.052 0.948 0.612
0.709 0.291 0.995
0.599 0.401 0.906
0.047 0.953 0.998
0.772 0.228 0.694
0.607 0.393 0.518
0.953 0.047 0.498
0.393 0.607 0.018
0.228 0.772 0.194
0.477 0.523 0.780
0.523 0.477 0.280
0.826 0.174 0.205
0.174 0.826 0.705
```